(1)
AsAu2Br8 | PBE | relaxed

Cell lengths 6.8924, 7.6146, 7.6146 Å; angles 69.26, 100.76, 100.76 degrees
Sites, in units of the cell vectors:
As: 0.0000 0.0000 0.0000
Au: 0.7418 0.2333 0.2333
Au: 0.2582 0.7667 0.7667
Br: 0.2040 0.1108 0.7043
Br: 0.2040 0.7043 0.1108
Br: 0.7960 0.8892 0.2957
Br: 0.2856 0.5781 0.5781
Br: 0.7960 0.2957 0.8892
Br: 0.2834 0.1738 0.1738
Br: 0.7166 0.8262 0.8262
Br: 0.7144 0.4219 0.4219

Values from the calculation:
- N(E_F) (states/eV/atom) = 0.83
- uncorrected formation energy (meV per atom) = -53



(2)
AgSNCl2 | PBE | relaxed

Cell lengths 5.5019, 5.5019, 3.3761 Å; angles 90.00, 90.00, 90.00 degrees
Sites, in units of the cell vectors:
S: 0.0000 0.0000 0.5000
N: 0.0000 0.0000 0.0000
Ag: 0.5000 0.5000 0.5000
Cl: 0.0000 0.5000 0.0000
Cl: 0.5000 0.0000 0.0000

Values from the calculation:
- N(E_F) (states/eV/atom) = 0.57
- excess energy over the best structure of this formula in the dataset (eV per atom) = 0.000
- uncorrected formation energy (meV per atom) = 774



(3)
Ti2AgBr2 | PBE | relaxed

Cell lengths 4.3844, 4.3844, 6.5846 Å; angles 70.55, 70.55, 90.00 degrees
Last column: magnetic moment on the atom in μB.
Sites, in units of the cell vectors:
Br: 0.7500 0.2500 0.5000  -0.01
Br: 0.2500 0.7500 0.5000  -0.01
Ag: 0.0000 0.0000 0.0000  0.00
Ti: 0.3884 0.3884 0.2231  1.12
Ti: 0.6116 0.6116 0.7769  1.12

Values from the calculation:
- N(E_F) (states/eV/atom) = 0.79
- excess energy over the best structure of this formula in the dataset (eV per atom) = 0.000
- uncorrected formation energy (meV per atom) = 40



(4)
Li2TlGa | PBE | relaxed

Cell lengths 3.3978, 3.3978, 6.4184 Å; angles 90.00, 90.00, 90.00 degrees
Sites, in units of the cell vectors:
Tl: 0.5000 0.5000 0.0000
Ga: 0.5000 0.5000 0.5000
Li: 0.0000 0.0000 0.7254
Li: 0.0000 0.0000 0.2746

Values from the calculation:
- N(E_F) (states/eV/atom) = 0.46
- energy relative to the elements (meV per atom) = -217
- excess energy over the best structure of this formula in the dataset (eV per atom) = 0.002



(5)
InPtCl | PBE | relaxed

Cell lengths 6.4669, 6.4665, 3.2411 Å; angles 75.49, 75.48, 29.03 degrees
Sites, in units of the cell vectors:
Cl: 0.9807 0.9807 0.0193
Pt: 0.6981 0.6981 0.3019
In: 0.3212 0.3212 0.6788

Values from the calculation:
- N(E_F) (states/eV/atom) = 0.15
- excess energy over the best structure of this formula in the dataset (eV per atom) = 0.107
- uncorrected formation energy (meV per atom) = -154



(6)
Ca3TbAg4 | PBE | relaxed

Cell lengths 3.6995, 3.6995, 14.8044 Å; angles 90.00, 90.00, 90.00 degrees
Sites, in units of the cell vectors:
Ca: 0.5000 0.5000 0.2475
Ca: 0.5000 0.5000 0.5000
Ca: 0.5000 0.5000 0.7525
Tb: 0.5000 0.5000 0.0000
Ag: 0.0000 0.0000 0.8849
Ag: 0.0000 0.0000 0.1151
Ag: 0.0000 0.0000 0.3748
Ag: 0.0000 0.0000 0.6252

Values from the calculation:
- N(E_F) (states/eV/atom) = 0.61
- energy relative to the elements (meV per atom) = -317